Record 1
{"formula": "Co3C2Se2O10", "functional": "PBEsol", "state": "optimized geometry", "magnetic_moment_mub_per_cell": 8.15, "spacegroup": "C2/m, No. 12", "raw_formation_energy_mev_per_atom": -813, "crystal_system": "monoclinic", "lattice_angstrom": [[5.5338, -0.0639, -0.0418], [-1.8650, 5.2104, 0.0418], [-2.6608, -1.9841, 6.8075]], "species": ["Co", "Co", "Co", "C", "C", "Se", "Se", "O", "O", "O", "O", "O", "O", "O", "O", "O", "O"], "fractional_positions": [[0.0000, 0.5000, 0.5000], [0.4873, 0.1903, 0.6776], [0.5127, 0.8097, 0.3224], [0.6089, 0.4577, 0.0666], [0.3911, 0.5423, 0.9334], [0.0738, 0.1583, 0.2321], [0.9262, 0.8417, 0.7679], [0.3180, 0.6983, 0.0164], [0.6820, 0.3017, 0.9836], [0.6825, 0.9411, 0.6236], [0.3175, 0.0589, 0.3764], [0.3033, 0.4453, 0.7486], [0.6967, 0.5547, 0.2514], [0.8405, 0.1218, 0.3474], [0.7743, 0.4930, 0.6526], [0.2257, 0.5070, 0.3474], [0.1595, 0.8782, 0.6526]]}

---

Record 2
{"formula": "SrBi2B2O7", "functional": "PBEsol", "state": "optimized geometry", "magnetic_moment_mub_per_cell": 0.00, "spacegroup": "P6_3/m, No. 176", "raw_formation_energy_mev_per_atom": -2116, "crystal_system": "hexagonal", "lattice_angstrom": [[-8.7755, 1.0358, -2.0779], [2.4019, -2.7658, 8.3055], [0.5122, 12.1779, 3.9073]], "species": ["Sr", "Sr", "Sr", "Sr", "Sr", "Sr", "Bi", "Bi", "Bi", "Bi", "Bi", "Bi", "Bi", "Bi", "Bi", "Bi", "Bi", "Bi", "B", "B", "B", "B", "B", "B", "B", "B", "B", "B", "B", "B", "O", "O", "O", "O", "O", "O", "O", "O", "O", "O", "O", "O", "O", "O", "O", "O", "O", "O", "O", "O", "O", "O", "O", "O", "O", "O", "O", "O", "O", "O", "O", "O", "O", "O", "O", "O", "O", "O", "O", "O", "O", "O"], "fractional_positions": [[0.9517, 0.6275, 0.7500], [0.6275, 0.6758, 0.2500], [0.3725, 0.3242, 0.7500], [0.6758, 0.0483, 0.7500], [0.0483, 0.3725, 0.2500], [0.3242, 0.9517, 0.2500], [0.3147, 0.9696, 0.5863], [0.9696, 0.6550, 0.4137], [0.3147, 0.9696, 0.9137], [0.6550, 0.6853, 0.9137], [0.0304, 0.3450, 0.5863], [0.3450, 0.3147, 0.0863], [0.3450, 0.3147, 0.4137], [0.6853, 0.0304, 0.0863], [0.9696, 0.6550, 0.0863], [0.6550, 0.6853, 0.5863], [0.6853, 0.0304, 0.4137], [0.0304, 0.3450, 0.9137], [0.6667, 0.3333, 0.1339], [0.6667, 0.3333, 0.9232], [0.3333, 0.6667, 0.0768], [0.0000, 0.0000, 0.6131], [0.3333, 0.6667, 0.4232], [0.0000, 0.0000, 0.1131], [0.0000, 0.0000, 0.8869], [0.6667, 0.3333, 0.3661], [0.0000, 0.0000, 0.3869], [0.3333, 0.6667, 0.6339], [0.3333, 0.6667, 0.8661], [0.6667, 0.3333, 0.5768], [0.8623, 0.8368, 0.1126], [0.1632, 0.0255, 0.3874], [0.1738, 0.5211, 0.0781], [0.1632, 0.0255, 0.1126], [0.4961, 0.8026, 0.8690], [0.1974, 0.6936, 0.6310], [0.1974, 0.6936, 0.8690], [0.0255, 0.8623, 0.8874], [0.6936, 0.4961, 0.1310], [0.3377, 0.3789, 0.2500], [0.3789, 0.0413, 0.7500], [0.5211, 0.3474, 0.5781], [0.3474, 0.8262, 0.0781], [0.9745, 0.1377, 0.3874], [0.6211, 0.9587, 0.2500], [0.4789, 0.6526, 0.4219], [0.1377, 0.1632, 0.8874], [0.4961, 0.8026, 0.6310], [0.1377, 0.1632, 0.6126], [0.6936, 0.4961, 0.3690], [0.4789, 0.6526, 0.0781], [0.3064, 0.5039, 0.8690], [0.8262, 0.4789, 0.9219], [0.8262, 0.4789, 0.5781], [0.8026, 0.3064, 0.1310], [0.0255, 0.8623, 0.6126], [0.5211, 0.3474, 0.9219], [0.0413, 0.6623, 0.2500], [0.6623, 0.6211, 0.7500], [0.8368, 0.9745, 0.8874], [0.3064, 0.5039, 0.6310], [0.8026, 0.3064, 0.3690], [0.8368, 0.9745, 0.6126], [0.9745, 0.1377, 0.1126], [0.6526, 0.1738, 0.5781], [0.8623, 0.8368, 0.3874], [0.5039, 0.1974, 0.3690], [0.9587, 0.3377, 0.7500], [0.3474, 0.8262, 0.4219], [0.6526, 0.1738, 0.9219], [0.5039, 0.1974, 0.1310], [0.1738, 0.5211, 0.4219]]}